Record 1
## CeSnPbAu (GGA-PBE)

Data for an optimized crystal structure of CeSnPbAu.

Formation energy from the elements = -0.338 eV/atom
Size of the total moment = 0.9 μB per formula unit

Cell and atoms, written as POSCAR:
```
CeSnPbAu
1.0
0.0000 3.7611 3.7611
3.7611 0.0000 3.7611
3.7611 3.7611 0.0000
Ce Sn Pb Au
1 1 1 1
Cartesian
0.0000 0.0000 0.0000
1.8805 1.8805 1.8805
3.7611 3.7611 3.7611
5.6416 5.6416 5.6416
```



Record 2
## Sc3Cr2 (GGA-PBE)

Data for an optimized crystal structure of Sc3Cr2.

Formation energy from the elements = 0.427 eV/atom
Excess energy over the best structure of this formula in the dataset = 0.496 eV per formula unit
Size of the total moment = 6.9 μB per formula unit

Cell and atoms, written as POSCAR:
```
Sc3Cr2
1.0
4.6750 0.0000 0.0000
-2.3375 4.0487 0.0000
0.0000 0.0000 5.6773
Sc Cr
3 2
Cartesian
0.0000 0.0000 0.0000
0.0000 2.6991 1.9525
2.3375 1.3496 3.7248
0.0000 2.6991 4.8939
2.3375 1.3496 0.7834
```



Record 3
## Ti2GaBr (GGA-PBE)

Data for an optimized crystal structure of Ti2GaBr.

Excess energy over the best structure of this formula in the dataset = 0.000 eV per formula unit
Size of the total moment = 1.5 μB per formula unit

Cell and atoms, written as POSCAR:
```
Ti2GaBr
1.0
0.0000 3.2711 3.2711
3.2711 0.0000 3.2711
3.2711 3.2711 0.0000
Ti Ga Br
2 1 1
Cartesian
1.6355 1.6355 1.6355
4.9066 4.9066 4.9066
0.0000 0.0000 0.0000
3.2711 3.2711 3.2711
```



> Among the records above, which one has the highest size of the total moment?

Sc3Cr2